This record from the Alexandria database describes a geometry-optimized Sc2Ga2Au structure. The functional is PBEsol.

Lattice parameters (Å, degrees): 6.615 6.615 4.121 90.00 90.00 90.00
Fractional positions:
Sc1 0.169 0.331 0.000
Sc2 0.331 0.831 0.000
Sc3 0.669 0.169 0.000
Sc4 0.831 0.669 0.000
Ga1 0.133 0.633 0.500
Ga2 0.367 0.133 0.500
Ga3 0.633 0.867 0.500
Ga4 0.867 0.367 0.500
Au1 0.000 0.000 0.500
Au2 0.500 0.500 0.500

Output
Formation energy ... -0.7409 eV/atom
Raw total energy ... -5.50 eV/atom
Theoretical density ... 7.9 g cm⁻³
Density of states at the Fermi level ... 0.575 states/eV per atom